[1]
The following is a PBE calculation of an optimized crystal structure of ErAlHgPd, from Alexandria via LeMat-Bulk.

Results
**E_form**: -569 meV per atom
**Total magnetization**: 0.00 μB/cell

Structure (CIF):
```
data_ErAlHgPd
_cell_length_a 6.7949
_cell_length_b 6.7949
_cell_length_c 6.7949
_cell_angle_alpha 90.00
_cell_angle_beta 90.00
_cell_angle_gamma 90.00
_space_group_name_H-M_alt 'F -4 3 m'
_space_group_IT_number 216
_space_group_name_Hall 'F -4 2 3'
loop_
_atom_site_label
_atom_site_type_symbol
_atom_site_fract_x
_atom_site_fract_y
_atom_site_fract_z
Er1 Er 0.0000 0.0000 0.0000
Al1 Al 0.0000 0.0000 0.5000
Hg1 Hg 0.2500 0.2500 0.2500
Pd1 Pd 0.2500 0.2500 0.7500
```



[2]
The following is a PBE calculation of an optimized crystal structure of CsAg2Sb2Te6, from Alexandria via LeMat-Bulk.

Results
**Total magnetization**: 0.00 μB/cell
**Energy relative to the elements, uncorrected**: -0.18 eV/atom

Structure (CIF):
```
data_CsAg2Sb2Te6
_cell_length_a 7.7600
_cell_length_b 7.9452
_cell_length_c 8.5778
_cell_angle_alpha 109.63
_cell_angle_beta 90.59
_cell_angle_gamma 115.07
_space_group_name_H-M_alt 'P -1'
_space_group_IT_number 2
_space_group_name_Hall '-P 1'
loop_
_atom_site_label
_atom_site_type_symbol
_atom_site_fract_x
_atom_site_fract_y
_atom_site_fract_z
Cs1 Cs 0.0000 0.0000 0.0000
Ag1 Ag 0.3437 0.9816 0.3776
Sb1 Sb 0.2763 0.5970 0.6177
Te1 Te 0.0478 0.7932 0.5419
Te2 Te 0.4229 0.8408 0.0608
Te3 Te 0.4831 0.6471 0.3472
```



[3]
The following is a PBE calculation of an optimized crystal structure of Sc2Zn16Au, from Alexandria via LeMat-Bulk.

Results
**E_form**: -195 meV per atom
**Total magnetization**: 0.00 μB/cell

Structure (CIF):
```
data_Sc2Zn16Au
_cell_length_a 8.8853
_cell_length_b 8.8853
_cell_length_c 13.0871
_cell_angle_alpha 90.00
_cell_angle_beta 90.00
_cell_angle_gamma 120.00
_space_group_name_H-M_alt 'R 3 m'
_space_group_IT_number 160
_space_group_name_Hall 'R 3 -2"'
loop_
_atom_site_label
_atom_site_type_symbol
_atom_site_fract_x
_atom_site_fract_y
_atom_site_fract_z
Sc1 Sc 0.0000 0.0000 0.0000
Sc2 Sc 0.0000 0.0000 0.3312
Zn1 Zn 0.0000 0.0000 0.5607
Zn2 Zn 0.0007 0.3034 0.6653
Zn3 Zn 0.0046 0.5023 0.1648
Zn4 Zn 0.0136 0.5068 0.8163
Zn5 Zn 0.1728 0.3456 0.8473
Au1 Au 0.0000 0.0000 0.7690
```



[4]
The following is a PBE calculation of an optimized crystal structure of CeSm2Tl, from Alexandria via LeMat-Bulk.

Results
**E_form**: -151 meV per atom
**Total magnetization**: 0.83 μB/cell

Structure (CIF):
```
data_CeSm2Tl
_cell_length_a 4.9855
_cell_length_b 4.9855
_cell_length_c 4.7302
_cell_angle_alpha 90.00
_cell_angle_beta 90.00
_cell_angle_gamma 90.00
_space_group_name_H-M_alt 'P 4/m m m'
_space_group_IT_number 123
_space_group_name_Hall '-P 4 2'
loop_
_atom_site_label
_atom_site_type_symbol
_atom_site_fract_x
_atom_site_fract_y
_atom_site_fract_z
Ce1 Ce 0.0000 0.0000 0.0000
Sm1 Sm 0.0000 0.5000 0.5000
Tl1 Tl 0.5000 0.5000 0.0000
```



[5]
The following is a PBE calculation of an optimized crystal structure of CaCo2Cl, from Alexandria via LeMat-Bulk.

Results
**Total magnetization**: 5.96 μB/cell
**Energy relative to the elements, uncorrected**: -0.23 eV/atom

Structure (CIF):
```
data_CaCo2Cl
_cell_length_a 6.6317
_cell_length_b 3.7830
_cell_length_c 7.0786
_cell_angle_alpha 90.00
_cell_angle_beta 96.44
_cell_angle_gamma 90.00
_space_group_name_H-M_alt 'C 1 m 1'
_space_group_IT_number 8
_space_group_name_Hall 'C -2y'
loop_
_atom_site_label
_atom_site_type_symbol
_atom_site_fract_x
_atom_site_fract_y
_atom_site_fract_z
Ca1 Ca 0.0000 0.0000 0.0000
Co1 Co 0.1323 0.5000 0.7077
Co2 Co 0.2954 0.0000 0.6667
Cl1 Cl 0.1967 0.5000 0.2341
```



[6]
The following is a PBE calculation of an optimized crystal structure of Pm2GaRh3, from Alexandria via LeMat-Bulk.

Results
**E_form**: -807 meV per atom
**Total magnetization**: 0.00 μB/cell

Structure (CIF):
```
data_Pm2GaRh3
_cell_length_a 5.6756
_cell_length_b 5.6756
_cell_length_c 12.0821
_cell_angle_alpha 90.00
_cell_angle_beta 90.00
_cell_angle_gamma 120.00
_space_group_name_H-M_alt 'R -3 m'
_space_group_IT_number 166
_space_group_name_Hall '-R 3 2"'
loop_
_atom_site_label
_atom_site_type_symbol
_atom_site_fract_x
_atom_site_fract_y
_atom_site_fract_z
Pm1 Pm 0.0000 0.0000 0.1295
Ga1 Ga 0.0000 0.0000 0.5000
Rh1 Rh 0.0000 0.5000 0.0000
```



Q: Which formula does entry 3 have?
A: Sc2Zn16Au



Q: Which of these has the highest total magnetization?
A: CaCo2Cl



Copy entry 3 word for word.
The following is a PBE calculation of an optimized crystal structure of Sc2Zn16Au, from Alexandria via LeMat-Bulk.

Results
**E_form**: -195 meV per atom
**Total magnetization**: 0.00 μB/cell

Structure (CIF):
```
data_Sc2Zn16Au
_cell_length_a 8.8853
_cell_length_b 8.8853
_cell_length_c 13.0871
_cell_angle_alpha 90.00
_cell_angle_beta 90.00
_cell_angle_gamma 120.00
_space_group_name_H-M_alt 'R 3 m'
_space_group_IT_number 160
_space_group_name_Hall 'R 3 -2"'
loop_
_atom_site_label
_atom_site_type_symbol
_atom_site_fract_x
_atom_site_fract_y
_atom_site_fract_z
Sc1 Sc 0.0000 0.0000 0.0000
Sc2 Sc 0.0000 0.0000 0.3312
Zn1 Zn 0.0000 0.0000 0.5607
Zn2 Zn 0.0007 0.3034 0.6653
Zn3 Zn 0.0046 0.5023 0.1648
Zn4 Zn 0.0136 0.5068 0.8163
Zn5 Zn 0.1728 0.3456 0.8473
Au1 Au 0.0000 0.0000 0.7690
```